LaNdMn2O6: relaxed, PBE with a Hubbard U.

**Calculated total energy**: -7.7620 eV per atom

Lattice parameters (Å, degrees): 7.734 5.476 5.598 90.00 90.00 90.00
Fractional coordinates of all 20 atoms:
1 La 0.000 0.239 0.000
2 La 0.000 0.761 0.500
3 Nd 0.500 0.264 0.100
4 Nd 0.500 0.736 0.600
5 Mn 0.252 0.249 0.546
6 Mn 0.252 0.751 0.046
7 Mn 0.748 0.249 0.546
8 Mn 0.748 0.751 0.046
9 O 0.000 0.326 0.560
10 O 0.000 0.674 0.060
11 O 0.212 0.044 0.253
12 O 0.212 0.956 0.753
13 O 0.295 0.459 0.836
14 O 0.295 0.541 0.336
15 O 0.500 0.165 0.527
16 O 0.500 0.835 0.027
17 O 0.705 0.459 0.836
18 O 0.705 0.541 0.336
19 O 0.788 0.044 0.253
20 O 0.788 0.956 0.753